Here is a relaxed PuCu5Au7 crystal from Alexandria via LeMat-Bulk. Energies are from PBE-GGA.

As for the crystal system: orthorhombic. As for the space group: Imm2. The calculation puts the raw total energy at -4.595 eV per atom. The calculation puts the formation energy at -0.152 eV/atom.

a b c (Å): 5.260 6.969 6.969
angles (deg): 81.60 67.83 67.83
Each line ends with the local moment (μB).
Positions (direct):
Pu  0.997  0.003  0.003  5.23
Cu  0.502  0.994  0.504  0.01
Cu  0.000  0.994  0.504  0.01
Cu  0.502  0.504  0.994  0.01
Cu  0.000  0.504  0.994  0.01
Cu  0.731  0.769  0.769  0.01
Au  0.655  0.345  0.345  0.01
Au  0.333  0.667  0.667  0.01
Au  0.996  0.345  0.662  0.00
Au  0.996  0.662  0.345  0.00
Au  0.275  0.225  0.225  0.00
Au  0.506  0.790  0.198  0.00
Au  0.506  0.198  0.790  0.00



Here is a relaxed Pr6YAg2 crystal from Alexandria via LeMat-Bulk. Energies are from PBE-GGA.

As for the crystal system: monoclinic. As for the space group: C2/m. The calculation puts the raw total energy at -4.644 eV per atom. The calculation puts the formation energy at -0.106 eV/atom.

a b c (Å): 3.776 6.752 12.065
angles (deg): 75.45 81.00 73.76
Positions (direct):
Pr  0.688  0.500  0.124
Pr  0.312  0.500  0.876
Pr  0.310  0.787  0.592
Pr  0.975  0.717  0.333
Pr  0.025  0.283  0.667
Pr  0.690  0.213  0.408
Y  0.000  0.000  0.000
Ag  0.363  0.085  0.190
Ag  0.637  0.915  0.810



Here is a relaxed Cs2NdP2S6 crystal from Alexandria via LeMat-Bulk. Energies are from PBE-GGA.

As for the crystal system: monoclinic. The formation energy without anion corrections comes out at -0.900 eV/atom. As for the space group: C2/m. The calculation puts the raw total energy at -4.724 eV per atom.

a b c (Å): 7.159 7.194 8.263
angles (deg): 114.93 90.00 119.84
Positions (direct):
Cs  0.721  0.441  0.198
Cs  0.279  0.559  0.802
Nd  0.500  0.000  0.500
P  0.947  0.893  0.822
P  0.053  0.107  0.178
S  0.754  0.508  0.654
S  0.213  0.950  0.221
S  0.263  0.050  0.779
S  0.787  0.050  0.779
S  0.737  0.950  0.221
S  0.246  0.492  0.346